16
Lattice="2.0129 -7.0724 0.0000 2.0129 7.0724 0.0000 0.0000 0.0000 13.9059" Properties=species:S:1:pos:R:3 comment="PBE CsTb2CuS4, relaxed" rho_g_cm3=5.4 raw_formation_energy_ev_per_atom=-1.6383 m_tot_mub_per_cell=0.0 pbc="T T T"
Cs 2.0129 5.5764 10.4294
Cs 2.0129 -5.5764 3.4765
Tb 2.0129 1.8952 7.8044
Tb 2.0129 1.8952 13.0544
Tb 2.0129 -1.8952 0.8515
Tb 2.0129 -1.8952 6.1015
Cu 2.0129 4.6983 3.4765
Cu 2.0129 -4.6983 10.4294
S 0.0000 0.0000 0.0000
S 0.0000 0.0000 6.9529
S 2.0129 3.4575 1.4739
S 2.0129 3.4575 5.4791
S 2.0129 1.1656 10.4294
S 2.0129 -1.1656 3.4765
S 2.0129 -3.4575 8.4268
S 2.0129 -3.4575 12.4320